The following is a DFT calculation (GGA-PBE) of a relaxed Ti8BAs2 crystal.

Geometry as POSCAR:
```
Ti8BAs2
1.0
-3.623 -2.479 -0.110
1.551 -2.062 -4.639
4.521 -2.982 5.957
Ti As B
8 2 1
Direct
0.776 0.684 0.552
0.643 0.003 0.286
0.010 0.772 0.020
0.585 0.448 0.171
0.224 0.316 0.448
0.990 0.228 0.980
0.357 0.997 0.714
0.415 0.552 0.829
0.169 0.727 0.339
0.831 0.273 0.661
0.500 0.000 0.000
```

Results
Formation energy, kJ/mol of formula units: -431
Electronic total energy, eV/atom: -7.600
Space-group type: C2/m, No. 12
DOS(E_F), states/eV/f.u.: 13.15


The following is a DFT calculation (GGA-PBE) of a relaxed TiBAs3 crystal.

Geometry as POSCAR:
```
TiBAs3
1.0
-4.138 -2.535 -0.207
2.359 -3.973 1.497
-0.951 1.175 4.617
As B Ti
3 1 1
Direct
0.000 0.500 0.000
0.500 0.000 0.000
0.000 0.000 0.500
0.500 0.500 0.500
0.000 0.000 0.000
```

Results
Formation energy, kJ/mol of formula units: 480
Electronic total energy, eV/atom: -4.710
Space-group type: Pm-3m, No. 221
DOS(E_F), states/eV/f.u.: 2.89


The following is a DFT calculation (GGA-PBE) of a relaxed TiBAs3 crystal.

Geometry as POSCAR:
```
TiBAs3
1.0
-2.802 -2.682 -2.051
2.574 0.028 -3.553
2.185 -3.472 1.556
As Ti B
3 1 1
Direct
0.000 0.000 0.500
0.000 0.500 0.000
0.500 0.000 0.000
0.500 0.500 0.500
0.000 0.000 0.000
```

Results
Formation energy, kJ/mol of formula units: 302
Electronic total energy, eV/atom: -5.078
Space-group type: Pm-3m, No. 221
DOS(E_F), states/eV/f.u.: 4.85


The following is a DFT calculation (GGA-PBE) of a relaxed TiBAs crystal.

Geometry as POSCAR:
```
TiBAs
1.0
3.386 0.000 0.000
0.000 3.141 0.000
0.000 0.000 15.428
B As Ti
4 4 4
Direct
0.000 0.750 0.527
0.500 0.750 0.027
0.000 0.250 0.473
0.500 0.250 0.973
0.000 0.250 0.333
0.500 0.750 0.167
0.500 0.250 0.833
0.000 0.750 0.667
0.500 0.750 0.419
0.000 0.750 0.919
0.500 0.250 0.581
0.000 0.250 0.081
```

Results
Formation energy, kJ/mol of formula units: -193
Electronic total energy, eV/atom: -7.075
Space-group type: Cmcm, No. 63
DOS(E_F), states/eV/f.u.: 0.94


The following is a DFT calculation (GGA-PBE) of a relaxed Ti4BAs2 crystal.

Geometry as POSCAR:
```
Ti4BAs2
1.0
4.074 0.000 0.000
0.000 4.074 0.000
2.037 2.037 6.735
As Ti B
2 4 1
Direct
0.358 0.358 0.284
0.642 0.642 0.716
0.836 0.836 0.329
0.000 0.500 0.000
0.500 0.000 0.000
0.164 0.164 0.671
0.000 0.000 0.000
```

Results
Formation energy, kJ/mol of formula units: -407
Electronic total energy, eV/atom: -7.396
Space-group type: I4/mmm, No. 139
DOS(E_F), states/eV/f.u.: 3.28


The following is a DFT calculation (GGA-PBE) of a relaxed Y2TiBAs crystal.

Geometry as POSCAR:
```
Y2TiBAs
1.0
5.483 0.000 0.000
0.000 4.024 0.000
0.000 0.000 5.483
Ti Y As B
1 2 1 1
Direct
0.500 0.500 0.500
0.000 0.000 0.500
0.500 0.000 0.000
0.000 0.000 0.000
0.000 0.500 0.000
```

Results
Formation energy, kJ/mol of formula units: 261
Electronic total energy, eV/atom: -5.888
Space-group type: P4/mmm, No. 123
DOS(E_F), states/eV/f.u.: 5.48


The following is a DFT calculation (GGA-PBE) of a relaxed TlB2As crystal.

Geometry as POSCAR:
```
TlB2As
1.0
-4.631 -0.820 2.455
2.449 -3.016 3.612
-0.340 1.927 5.734
B As Tl
4 2 2
Direct
0.575 0.125 0.250
0.175 0.625 0.250
0.375 0.425 0.750
0.875 0.825 0.750
0.500 0.500 0.000
0.250 0.750 0.500
0.000 0.000 0.000
0.750 0.250 0.500
```

Results
Formation energy, kJ/mol of formula units: 300
Electronic total energy, eV/atom: -4.314
Space-group type: I-42d, No. 122
DOS(E_F), states/eV/f.u.: 0.76


The following is a DFT calculation (GGA-PBE) of a relaxed TlBAs3 crystal.

Geometry as POSCAR:
```
TlBAs3
1.0
-4.822 -0.297 -2.286
0.445 -5.320 -0.247
-2.262 -0.413 4.824
As Tl B
3 1 1
Direct
0.000 0.000 0.500
0.000 0.500 0.000
0.500 0.000 0.000
0.000 0.000 0.000
0.500 0.500 0.500
```

Results
Formation energy, kJ/mol of formula units: 974
Electronic total energy, eV/atom: -2.580
Space-group type: Pm-3m, No. 221
DOS(E_F), states/eV/f.u.: 5.55


The following is a DFT calculation (GGA-PBE) of a relaxed TlBAs3 crystal.

Geometry as POSCAR:
```
TlBAs3
1.0
-1.598 -2.338 -3.629
3.273 -3.180 0.607
-2.815 -2.369 2.766
As B Tl
3 1 1
Direct
0.500 0.000 0.000
0.000 0.000 0.500
0.000 0.500 0.000
0.000 0.000 0.000
0.500 0.500 0.500
```

Results
Formation energy, kJ/mol of formula units: 345
Electronic total energy, eV/atom: -3.883
Space-group type: Pm-3m, No. 221
DOS(E_F), states/eV/f.u.: 3.56


The following is a DFT calculation (GGA-PBE) of a relaxed TlB2As crystal.

Geometry as POSCAR:
```
TlB2As
1.0
0.000 3.151 3.151
3.151 0.000 3.151
3.151 3.151 0.000
B Tl As
2 1 1
Direct
0.750 0.750 0.750
0.250 0.250 0.250
0.500 0.500 0.500
0.000 0.000 0.000
```

Results
Formation energy, kJ/mol of formula units: 657
Electronic total energy, eV/atom: -3.390
Space-group type: Fm-3m, No. 225
DOS(E_F), states/eV/f.u.: 1.63


The following is a DFT calculation (GGA-PBE) of a relaxed V2BAs crystal.

Geometry as POSCAR:
```
V2BAs
1.0
-3.657 0.166 1.815
-2.592 3.028 -0.899
-3.385 -0.779 -2.151
B As V
1 1 2
Direct
0.000 0.000 0.000
0.500 0.500 0.500
0.750 0.750 0.750
0.250 0.250 0.250
```

Results
Formation energy, kJ/mol of formula units: 73
Electronic total energy, eV/atom: -7.201
Space-group type: Fm-3m, No. 225
DOS(E_F), states/eV/f.u.: 5.44


The following is a DFT calculation (GGA-PBE) of a relaxed VB3As crystal.

Geometry as POSCAR:
```
VB3As
1.0
-3.824 0.170 1.293
0.967 -2.318 3.165
0.875 3.305 2.153
B V As
3 1 1
Direct
0.000 0.000 0.500
0.000 0.500 0.000
0.500 0.000 0.000
0.500 0.500 0.500
0.000 0.000 0.000
```

Results
Formation energy, kJ/mol of formula units: 927
Electronic total energy, eV/atom: -4.839
Space-group type: Pm-3m, No. 221
DOS(E_F), states/eV/f.u.: 4.67